# P2IrAu | the Alexandria database | PBE | relaxed
data_P2IrAu
_chemical_formula_sum 'P2 Ir1 Au1'
_space_group_name_H-M_alt 'P m m m'
_space_group_IT_number 47
_cell_length_a 2.857
_cell_length_b 4.440
_cell_length_c 4.882
_cell_angle_alpha 90.00
_cell_angle_beta 90.00
_cell_angle_gamma 90.00
loop_
_space_group_symop_operation_xyz
'x,y,z'
'-x,-y,-z'
'-x,-y,z'
'x,y,-z'
'x,-y,-z'
'-x,y,z'
'-x,y,-z'
'x,-y,z'
loop_
_atom_site_label
_atom_site_fract_x
_atom_site_fract_y
_atom_site_fract_z
P1 0.000 0.000 0.000
P2 0.500 0.000 0.500
Ir1 0.000 0.500 0.500
Au1 0.500 0.500 0.000
# Energy relative to the elements (eV/atom): 0.576
# Energy above the lowest structure with this stoichiometry (meV per atom): 801
# Crystal system: orthorhombic